1.
{
  "formula": "HfTlP2Au",
  "functional": "GGA-PBE",
  "state": "optimized geometry",
  "cell": [[-3.4156, -0.2738, 3.3129], [3.7351, -0.7803, 3.7864], [0.2880, 4.7078, 0.6861]],
  "species": ["Hf", "P", "P", "Au", "Tl"],
  "frac_coords": [[0.5000, 0.5000, 0.5000], [0.0000, 0.0000, 0.5000], [0.5000, 0.0000, 0.0000], [0.0000, 0.0000, 0.0000], [0.0000, 0.5000, 0.0000]],
  "dos_ef_per_ev_fu": 4.19,
  "magmom_total_mub_per_cell": 0.0,
  "energy_ev_per_cell": -21.6,
  "delta_e_f_ev_per_atom": 0.965,
  "density_g_cm3": 8.7
}

***

2.
{
  "formula": "Cu2PSe",
  "functional": "GGA-PBE",
  "state": "optimized geometry",
  "cell": [[3.1022, 0.0000, 0.0000], [0.0000, 3.1022, 0.0000], [0.0000, 0.0000, 7.3234]],
  "species": ["Cu", "Cu", "Se", "P"],
  "frac_coords": [[0.0000, 0.0000, 0.0412], [0.5000, 0.5000, 0.2370], [0.5000, 0.5000, 0.8481], [0.0000, 0.0000, 0.3736]],
  "dos_ef_per_ev_fu": 2.12,
  "magmom_total_mub_per_cell": 0.0,
  "energy_ev_per_cell": -16.4,
  "e_form_raw_ev_per_atom": 0.177,
  "density_g_cm3": 5.6
}

***

3.
{
  "formula": "La4MgPb3",
  "functional": "GGA-PBE",
  "state": "optimized geometry",
  "cell": [[5.5360, 0.5026, -1.6296], [0.1016, 5.5608, -1.6194], [-0.8956, -0.9817, 8.7800]],
  "species": ["La", "La", "La", "La", "Pb", "Pb", "Pb", "Mg"],
  "frac_coords": [[0.3731, 0.3732, 0.7467], [0.1266, 0.1267, 0.2533], [0.6269, 0.6268, 0.2533], [0.8734, 0.8733, 0.7467], [0.7416, 0.2420, 0.4837], [0.0000, 0.5000, 0.0000], [0.2584, 0.7580, 0.5163], [0.5000, 0.0000, 0.0000]],
  "dos_ef_per_ev_fu": 5.41,
  "magmom_total_mub_per_cell": 0.0,
  "energy_ev_per_cell": -36.3,
  "delta_e_f_ev_per_atom": -0.484,
  "density_g_cm3": 7.9
}

***

4.
{
  "formula": "AlHg2Pt",
  "functional": "GGA-PBE",
  "state": "optimized geometry",
  "cell": [[-0.2171, 4.6752, -6.9014], [-2.9529, 2.5809, -7.3589], [-3.2616, 5.4425, -5.4106]],
  "species": ["Hg", "Hg", "Al", "Pt"],
  "frac_coords": [[0.2416, 0.2416, 0.2416], [0.0084, 0.0084, 0.0084], [0.7631, 0.7631, 0.7631], [0.4869, 0.4869, 0.4869]],
  "dos_ef_per_ev_fu": 1.35,
  "magmom_total_mub_per_cell": 0.0,
  "energy_ev_per_cell": -11.1,
  "delta_e_f_ev_per_atom": -0.170,
  "density_g_cm3": 12.2
}